No. 1
A plane-wave DFT calculation with PBE was carried out for crystalline BaGe3Au5 at its relaxed geometry.

Its total energy is -3.84 eV/atom. The value obtained for the energy of formation is -2.4 eV per formula unit. For the total magnetization, the calculation gives 0.00 Bohr magnetons per cell.

Lattice parameters (Å, degrees): 4.373 13.485 13.682 90.00 90.00 90.00
Space group Cmcm (No. 63)
One atom of each set of equivalent atoms:
Ba (0.000, 0.174, 0.250)
Ge (0.000, 0.097, 0.750)
Ge (0.000, 0.374, 0.521)
Au (0.000, 0.000, 0.000)
Au (0.000, 0.198, 0.590)
Au (0.000, 0.480, 0.150)

No. 2
A plane-wave DFT calculation with PBE was carried out for crystalline BaSiO3 at its relaxed geometry.

Its total energy is -7.43 eV/atom. The calculation puts the formation energy (no corrections) at -2984 meV/atom. For the total magnetization, the calculation gives 0.00 Bohr magnetons per cell.

Lattice parameters (Å, degrees): 13.144 7.613 11.453 90.00 111.92 90.00
Space group C2/c (No. 15)
One atom of each set of equivalent atoms:
Ba (0.088, 0.237, 0.499)
Ba (0.250, 0.250, 0.000)
Si (0.000, 0.180, 0.750)
Si (0.119, 0.463, 0.247)
O (0.000, 0.380, 0.250)
O (0.045, 0.077, 0.883)
O (0.101, 0.316, 0.748)
O (0.125, 0.412, 0.113)
O (0.214, 0.413, 0.380)

No. 3
A plane-wave DFT calculation with PBE was carried out for crystalline AcU2SiN5 at its relaxed geometry.

Its total energy is -9.32 eV/atom. The calculation puts the formation energy (no corrections) at -1123 meV/atom. For the total magnetization, the calculation gives 3.48 Bohr magnetons per cell.

Lattice parameters (Å, degrees): 6.567 6.567 5.553 90.00 90.00 90.00
Space group P4/mbm (No. 127)
One atom of each set of equivalent atoms:
Ac (0.000, 0.000, 0.000)
U (0.175, 0.325, 0.500)
Si (0.000, 0.500, 0.000)
N (0.000, 0.000, 0.500)
N (0.139, 0.639, 0.241)

No. 4
A plane-wave DFT calculation with PBE was carried out for crystalline Li2Y2MgPd5 at its relaxed geometry.

Its total energy is -5.11 eV/atom. The value obtained for the energy of formation is -6.8 eV per formula unit. For the total magnetization, the calculation gives 0.00 Bohr magnetons per cell.

Lattice parameters (Å, degrees): 9.682 9.682 3.639 90.00 90.00 90.00
Space group P4/mbm (No. 127)
One atom of each set of equivalent atoms:
Li (0.121, 0.379, 0.000)
Y (0.178, 0.678, 0.000)
Mg (0.000, 0.000, 0.000)
Pd (0.000, 0.500, 0.500)
Pd (0.066, 0.207, 0.500)

No. 5
A plane-wave DFT calculation with PBE was carried out for crystalline Tl2AgPt2 at its relaxed geometry.

Its total energy is -3.66 eV/atom. The value obtained for the energy of formation is 1.3 eV per formula unit. For the distance to the lowest polymorph of the same formula, the calculation gives 253 meV per atom. For the total magnetization, the calculation gives 0.00 Bohr magnetons per cell.

Lattice parameters (Å, degrees): 4.305 4.305 12.229 90.00 90.00 90.00
Space group I4/mmm (No. 139)
One atom of each set of equivalent atoms:
Tl (0.000, 0.500, 0.250)
Ag (0.000, 0.000, 0.000)
Pt (0.000, 0.000, 0.396)

No. 6
A plane-wave DFT calculation with PBE was carried out for crystalline Mg2ZnBr6 at its relaxed geometry.

Its total energy is -2.85 eV/atom. The calculation puts the formation energy (no corrections) at -1234 meV/atom. For the total magnetization, the calculation gives 0.00 Bohr magnetons per cell.

Lattice parameters (Å, degrees): 14.593 14.888 6.893 90.00 115.90 90.00
Space group C2/c (No. 15)
One atom of each set of equivalent atoms:
Mg (0.231, 0.081, 0.395)
Zn (0.000, 0.278, 0.250)
Br (0.094, 0.374, 0.564)
Br (0.106, 0.190, 0.127)
Br (0.203, 0.075, 0.731)

No. 7
A plane-wave DFT calculation with PBE was carried out for crystalline KSrPb at its relaxed geometry.

Its total energy is -2.31 eV/atom. The value obtained for the energy of formation is -0.4 eV per formula unit. For the distance to the lowest polymorph of the same formula, the calculation gives 69 meV per atom. For the total magnetization, the calculation gives 4.17 Bohr magnetons per cell.

Lattice parameters (Å, degrees): 8.289 8.289 8.289 90.00 90.00 90.00
Space group F-43m (No. 216)
One atom of each set of equivalent atoms:
K (0.000, 0.000, 0.000)
Sr (0.000, 0.000, 0.500)
Pb (0.250, 0.250, 0.250)

No. 8
A plane-wave DFT calculation with PBE was carried out for crystalline CsCaBeBr2 at its relaxed geometry.

Its total energy is -1.94 eV/atom. The calculation puts the formation energy (no corrections) at 43 meV/atom. For the total magnetization, the calculation gives 0.00 Bohr magnetons per cell.

Lattice parameters (Å, degrees): 5.489 5.489 5.860 90.00 90.00 90.00
Space group P4/mmm (No. 123)
One atom of each set of equivalent atoms:
Cs (0.000, 0.000, 0.000)
Ca (0.500, 0.500, 0.000)
Be (0.000, 0.000, 0.500)
Br (0.000, 0.500, 0.500)